The following is a GGA-PBE calculation of a relaxed GdYMgPb crystal, from Alexandria.

POSCAR file:
```
GdYMgPb
1.0
0.000 3.811 3.811
3.811 0.000 3.811
3.811 3.811 0.000
Gd Y Mg Pb
1 1 1 1
Cartesian
0.000 0.000 0.000 Gd
3.811 3.811 3.811 Y
1.905 1.905 1.905 Mg
5.716 5.716 5.716 Pb
```

## Properties
Calculated formation energy   -0.31 eV per atom
Space group   No. 216


The following is a GGA-PBE calculation of a relaxed CaPr2PaP4 crystal, from Alexandria.

POSCAR file:
```
CaPr2PaP4
1.0
7.103 0.000 0.000
0.000 4.131 0.000
-2.350 0.000 6.737
Ca Pr Pa P
1 2 1 4
Cartesian
0.000 0.000 0.000 Ca
-1.175 2.066 3.369 Pr
2.376 0.000 3.369 Pr
3.551 2.066 0.000 Pa
1.293 2.066 1.600 P
0.076 0.000 5.160 P
4.677 0.000 1.577 P
3.460 2.066 5.137 P
```

## Properties
Calculated formation energy   -1.38 eV per atom
Space group   No. 10


The following is a GGA-PBE calculation of a relaxed Tb8Pm3Th4 crystal, from Alexandria.

POSCAR file:
```
Tb8Pm3Th4
1.0
6.676 -6.482 0.000
6.676 6.482 0.000
-3.390 0.000 5.854
Tb Pm Th
8 3 4
Cartesian
6.676 4.597 0.000 Tb
3.172 0.000 0.028 Tb
1.576 0.000 2.857 Tb
4.982 3.311 2.927 Tb
4.982 -3.311 2.927 Tb
8.388 0.000 2.997 Tb
6.791 0.000 5.826 Tb
6.676 -4.597 0.000 Tb
-1.695 0.000 2.927 Pm
1.643 3.241 2.927 Pm
1.643 -3.241 2.927 Pm
3.338 3.241 0.000 Th
3.338 -3.241 0.000 Th
6.676 0.000 0.000 Th
4.982 0.000 2.927 Th
```

## Properties
Calculated formation energy   0.42 eV per atom
Space group   No. 12


The following is a GGA-PBE calculation of a relaxed MgCrPb2 crystal, from Alexandria.

POSCAR file:
```
MgCrPb2
1.0
-2.197 2.197 5.020
2.197 -2.197 5.020
2.197 2.197 -5.020
Mg Cr Pb
1 1 2
Cartesian
0.000 0.000 0.000 Mg
0.000 2.197 2.510 Cr
2.197 0.000 2.510 Pb
0.000 0.000 5.020 Pb
```

## Properties
Calculated formation energy   0.31 eV per atom
Space group   No. 119